8
Lattice="-1.8717 1.8717 11.4736 1.8717 -1.8717 11.4736 1.8717 1.8717 -11.4736" Properties=species:S:1:pos:R:3 comment="GGA-PBE Si3Te, optimized geometry" magnetic_moment_mub_per_fu=0.0 e_form_raw_ev_per_atom=0.434 relative_energy_ev_per_atom=0.1560 pbc="T T T"
Si 1.8717 0.0000 5.7368
Si 1.8717 0.0000 0.0000
Si 0.0000 0.0000 4.0348
Si 0.0000 1.8717 5.7368
Si 0.0000 0.0000 18.9124
Si 0.0000 1.8717 0.0000
Te 0.0000 0.0000 13.7804
Te 0.0000 0.0000 9.1669